Entry 1:
AgIrCl: relaxed, PBE.

Properties
E above lowest polymorph = 195 kJ/mol of formula units
Energy relative to the elements, uncorrected = 0.7712 eV per atom
Energy = -11.2 eV for the cell shown

Lattice parameters (Å, degrees): 4.4162 4.4162 2.9989 90.00 90.00 120.00
Element x y z (fractional)
Ag 0.0000 0.0000 0.0000
Ir 0.3333 0.6667 0.5000
Cl 0.6667 0.3333 0.5000

***

Entry 2:
PtRhIN2: relaxed, PBE.

Properties
E above lowest polymorph = 0 kJ/mol of formula units
Energy relative to the elements, uncorrected = 1.2029 eV per atom
Energy = -25.6 eV for the cell shown

Lattice parameters (Å, degrees): 3.7751 3.7751 8.4158 90.00 90.00 90.00
Element x y z (fractional)
Pt 0.0000 0.0000 0.0000
Rh 0.5000 0.5000 0.5000
I 0.5000 0.5000 0.0000
N 0.0000 0.5000 0.5000
N 0.5000 0.0000 0.5000

***

Entry 3:
CaPr8Y2: relaxed, PBE.

Properties
ΔH_f (0 K) = 0.163 eV/atom
Energy = -51.4 eV for the cell shown

Lattice parameters (Å, degrees): 5.6067 8.6590 8.6590 104.84 90.00 90.00
Element x y z (fractional)
Ca 0.0000 0.0000 0.0000
Pr 0.0000 0.0992 0.5999
Pr 0.0000 0.3365 0.3365
Pr 0.0000 0.5999 0.0992
Pr 0.0000 0.6554 0.6554
Pr 0.5000 0.0194 0.3062
Pr 0.5000 0.3062 0.0194
Pr 0.5000 0.7092 0.9539
Pr 0.5000 0.9539 0.7092
Y 0.5000 0.3667 0.6212
Y 0.5000 0.6212 0.3667

***

Entry 4:
La2BeCd: relaxed, PBE.

Properties
E above lowest polymorph = 121 kJ/mol of formula units
ΔH_f (0 K) = 0.243 eV/atom
Energy = -13.5 eV for the cell shown

Lattice parameters (Å, degrees): 3.6336 4.5064 6.6708 90.00 90.00 90.00
Element x y z (fractional)
La 0.0000 0.0000 0.0000
La 0.5000 0.5000 0.3173
Be 0.0000 0.0000 0.5132
Cd 0.5000 0.5000 0.7736

***

| no. | total moment (Bohr magnetons per cell) |
| --- | --- |
| 1 | 0.0 |
| 2 | 0.0 |
| 3 | 0.0 |
| 4 | 0.0 |